No. 1
An optimized crystal structure of AlFeRh2, computed with GGA-PBE.

The symmetry is I-4m2, No. 119.

The structure in CIF format:
```
data_AlFeRh2
_cell_length_a 4.810
_cell_length_b 4.810
_cell_length_c 4.810
_cell_angle_alpha 135.10
_cell_angle_beta 135.10
_cell_angle_gamma 65.38
_space_group_name_H-M_alt 'P 1'
_space_group_IT_number 1
loop_
_space_group_symop_operation_xyz
'x,y,z'
loop_
_atom_site_label
_atom_site_fract_x
_atom_site_fract_y
_atom_site_fract_z
Al1 0.000 0.000 0.000
Fe1 0.250 0.750 0.500
Rh1 0.500 0.500 0.000
Rh2 0.750 0.250 0.500
```


No. 2
An optimized crystal structure of Nd4Pd3Ru, computed with GGA-PBE.

The symmetry is Pmm2, No. 25.

The structure in CIF format:
```
data_Nd4Pd3Ru
_cell_length_a 3.861
_cell_length_b 4.615
_cell_length_c 10.834
_cell_angle_alpha 90.00
_cell_angle_beta 90.00
_cell_angle_gamma 90.00
_space_group_name_H-M_alt 'P 1'
_space_group_IT_number 1
loop_
_space_group_symop_operation_xyz
'x,y,z'
loop_
_atom_site_label
_atom_site_fract_x
_atom_site_fract_y
_atom_site_fract_z
Nd1 0.000 0.000 0.000
Nd2 0.000 0.500 0.264
Nd3 0.500 0.000 0.477
Nd4 0.500 0.500 0.763
Pd1 0.000 0.000 0.711
Pd2 0.000 0.500 0.547
Pd3 0.500 0.500 0.039
Ru1 0.500 0.000 0.217
```


No. 3
An optimized crystal structure of La2Ni4B, computed with GGA-PBE.

The symmetry is I4/mmm, No. 139.

The structure in CIF format:
```
data_La2Ni4B
_cell_length_a 8.223
_cell_length_b 8.223
_cell_length_c 8.223
_cell_angle_alpha 152.02
_cell_angle_beta 152.02
_cell_angle_gamma 39.98
_space_group_name_H-M_alt 'P 1'
_space_group_IT_number 1
loop_
_space_group_symop_operation_xyz
'x,y,z'
loop_
_atom_site_label
_atom_site_fract_x
_atom_site_fract_y
_atom_site_fract_z
La1 0.156 0.156 0.000
La2 0.844 0.844 0.000
Ni1 0.000 0.500 0.500
Ni2 0.374 0.374 0.000
Ni3 0.500 0.000 0.500
Ni4 0.626 0.626 0.000
B1 0.500 0.500 0.000
```


Number 1: formation energy from the elements -0.389 eV/atom, DOS(E_F) 1.24 states/eV per atom. Number 2: formation energy from the elements -0.629 eV/atom, DOS(E_F) 0.80 states/eV per atom. Number 3: formation energy from the elements -0.298 eV/atom, DOS(E_F) 0.81 states/eV per atom.